First-principles (PBE) data for a geometry-optimized Be3InO structure, as listed in Alexandria via LeMat-Bulk.

abc: 4.5172 4.5172 4.5172
angles: 90.00 90.00 90.00
Space group Pm-3m (No. 221)
Symmetry-distinct sites (fractional):
Be (0.0000, 0.0000, 0.5000) [3 per cell]
In (0.0000, 0.0000, 0.0000) [1 per cell]
O (0.5000, 0.5000, 0.5000) [1 per cell]

Calculated values
Raw formation energy ... 1.360 eV per atom
DOS at the Fermi energy ... 3.17 states/eV/cell
Calculated density ... 2.8 Mg/m³

First-principles (PBE) data for a geometry-optimized BeInP2O structure, as listed in Alexandria via LeMat-Bulk.

abc: 5.1609 5.1609 3.8873
angles: 90.00 90.00 90.00
Space group P4/mmm (No. 123)
Symmetry-distinct sites (fractional):
Be (0.0000, 0.0000, 0.0000) [1 per cell]
In (0.5000, 0.5000, 0.5000) [1 per cell]
P (0.0000, 0.5000, 0.5000) [2 per cell]
O (0.5000, 0.5000, 0.0000) [1 per cell]

Calculated values
Raw formation energy ... 1.069 eV per atom
DOS at the Fermi energy ... 5.81 states/eV/cell
Calculated density ... 3.2 Mg/m³

First-principles (PBE) data for a geometry-optimized BeInP2O structure, as listed in Alexandria via LeMat-Bulk.

abc: 5.1255 5.1255 2.9625
angles: 90.00 90.00 90.00
Space group P4/mmm (No. 123)
Symmetry-distinct sites (fractional):
Be (0.0000, 0.0000, 0.0000) [1 per cell]
In (0.5000, 0.5000, 0.5000) [1 per cell]
P (0.0000, 0.5000, 0.0000) [2 per cell]
O (0.0000, 0.0000, 0.5000) [1 per cell]

Calculated values
Raw formation energy ... -0.147 eV per atom
DOS at the Fermi energy ... 1.96 states/eV/cell
Calculated density ... 4.3 Mg/m³

First-principles (PBE) data for a geometry-optimized PmBe2In2O6 structure, as listed in Alexandria via LeMat-Bulk.

abc: 5.3668 5.3668 6.6006
angles: 90.00 90.00 120.00
Space group P-3 (No. 147)
Symmetry-distinct sites (fractional):
Pm (0.0000, 0.0000, 0.0000) [1 per cell]
Be (0.3333, 0.6667, 0.7828) [2 per cell]
In (0.3333, 0.6667, 0.3318) [2 per cell]
O (0.0480, 0.6733, 0.7822) [6 per cell]

Calculated values
Raw formation energy ... -2.067 eV per atom
DOS at the Fermi energy ... 3.74 states/eV/cell
Calculated density ... 4.9 Mg/m³

First-principles (PBE) data for a geometry-optimized Be2InPtO6 structure, as listed in Alexandria via LeMat-Bulk.

abc: 10.0693 8.6104 5.6058
angles: 90.00 114.27 90.00
Space group C2/c (No. 15)
Symmetry-distinct sites (fractional):
Be (0.2014, 0.0698, 0.1465) [8 per cell]
In (0.0000, 0.3948, 0.2500) [4 per cell]
Pt (0.0000, 0.2200, 0.7500) [4 per cell]
O (0.1116, 0.2252, 0.1364) [8 per cell]
O (0.1200, 0.4030, 0.6964) [8 per cell]
O (0.1548, 0.0558, 0.8193) [8 per cell]

Calculated values
Raw formation energy ... -1.491 eV per atom
DOS at the Fermi energy ... 15.84 states/eV/cell
Calculated density ... 6.4 Mg/m³

First-principles (PBE) data for a geometry-optimized PuBeInO5 structure, as listed in Alexandria via LeMat-Bulk.

abc: 6.5497 8.6830 7.6802
angles: 90.00 112.07 90.00
Space group C2/c (No. 15)
Symmetry-distinct sites (fractional):
Pu (0.0000, 0.0000, 0.0000) [4 per cell]
Be (0.0000, 0.3105, 0.2500) [4 per cell]
In (0.0000, 0.3644, 0.7500) [4 per cell]
O (0.0000, 0.1206, 0.7500) [4 per cell]
O (0.1370, 0.1931, 0.1622) [8 per cell]
O (0.1556, 0.4330, 0.4134) [8 per cell]

Calculated values
Raw formation energy ... -2.199 eV per atom
DOS at the Fermi energy ... 19.76 states/eV/cell
Calculated density ... 7.3 Mg/m³

First-principles (PBE) data for a geometry-optimized RbBeInO3 structure, as listed in Alexandria via LeMat-Bulk.

abc: 7.7446 3.2310 7.7965
angles: 90.00 110.24 90.00
Space group P2_1/m (No. 11)
Symmetry-distinct sites (fractional):
Rb (0.2376, 0.2500, 0.2100) [2 per cell]
Be (0.3988, 0.7500, 0.9265) [2 per cell]
In (0.1512, 0.2500, 0.6630) [2 per cell]
O (0.1544, 0.7500, 0.4750) [2 per cell]
O (0.1789, 0.7500, 0.8619) [2 per cell]
O (0.4621, 0.2500, 0.8625) [2 per cell]

Calculated values
Raw formation energy ... -1.859 eV per atom
DOS at the Fermi energy ... 0.00 states/eV/cell
Calculated density ... 4.7 Mg/m³

First-principles (PBE) data for a geometry-optimized RbBe2In2O6 structure, as listed in Alexandria via LeMat-Bulk.

abc: 5.1405 5.6350 5.7267
angles: 96.08 106.64 108.35
Space group P-1 (No. 2)
Symmetry-distinct sites (fractional):
Rb (0.0000, 0.0000, 0.0000) [1 per cell]
Be (0.1622, 0.6835, 0.6379) [2 per cell]
In (0.4714, 0.3443, 0.7245) [2 per cell]
O (0.1943, 0.4714, 0.4185) [2 per cell]
O (0.2215, 0.9589, 0.5606) [2 per cell]
O (0.3741, 0.6623, 0.8940) [2 per cell]

Calculated values
Raw formation energy ... -1.726 eV per atom
Calculated density ... 4.8 Mg/m³

First-principles (PBE) data for a geometry-optimized ScBeInO2 structure, as listed in Alexandria via LeMat-Bulk.

abc: 4.0755 4.0755 6.0213
angles: 90.00 90.00 90.00
Space group P4/mmm (No. 123)
Symmetry-distinct sites (fractional):
Sc (0.0000, 0.0000, 0.0000) [1 per cell]
Be (0.5000, 0.5000, 0.0000) [1 per cell]
In (0.0000, 0.0000, 0.5000) [1 per cell]
O (0.0000, 0.5000, 0.5000) [2 per cell]

Calculated values
Raw formation energy ... 0.329 eV per atom
DOS at the Fermi energy ... 3.41 states/eV/cell
Calculated density ... 3.3 Mg/m³

First-principles (PBE) data for a geometry-optimized BeInSeO2 structure, as listed in Alexandria via LeMat-Bulk.

abc: 3.6715 3.6715 5.0993
angles: 90.00 90.00 90.00
Space group P4/mmm (No. 123)
Symmetry-distinct sites (fractional):
Be (0.0000, 0.0000, 0.0000) [1 per cell]
In (0.5000, 0.5000, 0.5000) [1 per cell]
Se (0.0000, 0.0000, 0.5000) [1 per cell]
O (0.0000, 0.5000, 0.0000) [2 per cell]

Calculated values
Raw formation energy ... -0.459 eV per atom
DOS at the Fermi energy ... 4.65 states/eV/cell
Calculated density ... 5.7 Mg/m³

First-principles (PBE) data for a geometry-optimized BeIn2SnO structure, as listed in Alexandria via LeMat-Bulk.

abc: 4.7092 4.7092 4.8559
angles: 90.00 90.00 90.00
Space group P4/mmm (No. 123)
Symmetry-distinct sites (fractional):
Be (0.0000, 0.0000, 0.0000) [1 per cell]
In (0.0000, 0.5000, 0.0000) [2 per cell]
Sn (0.0000, 0.0000, 0.5000) [1 per cell]
O (0.5000, 0.5000, 0.5000) [1 per cell]

Calculated values
Raw formation energy ... 0.384 eV per atom
DOS at the Fermi energy ... 1.75 states/eV/cell
Calculated density ... 5.8 Mg/m³

First-principles (PBE) data for a geometry-optimized BeInSnO4 structure, as listed in Alexandria via LeMat-Bulk.

abc: 6.1240 6.2245 8.7370
angles: 90.00 90.00 90.00
Space group Imma (No. 74)
Symmetry-distinct sites (fractional):
Be (0.0000, 0.2500, 0.1250) [4 per cell]
In (0.0000, 0.0000, 0.5000) [4 per cell]
Sn (0.2500, 0.2500, 0.7500) [4 per cell]
O (0.0000, 0.0196, 0.2411) [8 per cell]
O (0.2378, 0.2500, 0.0061) [8 per cell]

Calculated values
Raw formation energy ... -1.482 eV per atom
DOS at the Fermi energy ... 9.26 states/eV/cell
Calculated density ... 6.1 Mg/m³

| no. | volume (Å³/atom) |
| --- | --- |
| 1 | 18.43 |
| 2 | 20.71 |
| 3 | 15.57 |
| 4 | 14.97 |
| 5 | 11.08 |
| 6 | 12.65 |
| 7 | 15.25 |
| 8 | 13.39 |
| 9 | 20.00 |
| 10 | 13.75 |
| 11 | 21.54 |
| 12 | 11.89 |